First-principles (PBE) data for PmSm2I6 after structural relaxation, as listed in the Alexandria database.

Lattice parameters (Å, degrees): 4.193 8.979 11.534 115.43 90.00 103.50
Sites, in units of the cell vectors:
I1 0.975 0.950 0.213
I2 0.684 0.368 0.123
I3 0.025 0.050 0.787
I4 0.353 0.706 0.448
I5 0.316 0.632 0.877
I6 0.647 0.294 0.552
Sm1 0.674 0.348 0.845
Sm2 0.326 0.652 0.155
Pm1 0.000 0.000 0.500

Calculated values
Distance to the lowest polymorph of the same formula in meV/atom: 0
Space-group type: No. 12

=====

First-principles (PBE) data for PmSm2I6 after structural relaxation, as listed in the Alexandria database.

Lattice parameters (Å, degrees): 7.662 7.662 8.433 62.98 62.98 60.00
Sites, in units of the cell vectors:
Pm1 0.354 0.354 0.939
I1 0.425 0.099 0.692
I2 0.615 0.935 0.198
I3 0.935 0.253 0.198
I4 0.099 0.784 0.692
I5 0.784 0.425 0.692
I6 0.253 0.615 0.198
Sm1 0.683 0.683 0.951
Sm2 0.518 0.518 0.445

Calculated values
Distance to the lowest polymorph of the same formula in meV/atom: 58
Space-group type: No. 146

=====

First-principles (PBE) data for PmSmI6 after structural relaxation, as listed in the Alexandria database.

Lattice parameters (Å, degrees): 7.631 7.631 8.293 62.61 81.77 71.87
Sites, in units of the cell vectors:
I1 0.749 0.750 0.000
I2 0.251 0.602 0.294
I3 0.749 0.104 0.294
I4 0.251 0.896 0.706
I5 0.251 0.250 0.000
I6 0.749 0.398 0.706
Sm1 0.500 0.500 0.000
Pm1 0.000 0.000 0.000

Calculated values
Distance to the lowest polymorph of the same formula in meV/atom: 0
Space-group type: No. 12

=====

First-principles (PBE) data for Pm2SmI6 after structural relaxation, as listed in the Alexandria database.

Lattice parameters (Å, degrees): 7.672 7.672 8.452 63.01 63.01 60.00
Sites, in units of the cell vectors:
I1 0.939 0.253 0.197
I2 0.253 0.612 0.197
I3 0.422 0.101 0.693
I4 0.101 0.784 0.693
I5 0.784 0.422 0.693
I6 0.612 0.939 0.197
Sm1 0.354 0.354 0.937
Pm1 0.683 0.683 0.951
Pm2 0.519 0.519 0.444

Calculated values
Distance to the lowest polymorph of the same formula in meV/atom: 59
Space-group type: No. 146

=====

First-principles (PBE) data for Pm3SmI8 after structural relaxation, as listed in the Alexandria database.

Lattice parameters (Å, degrees): 8.415 8.407 9.485 116.30 90.00 120.03
Sites, in units of the cell vectors:
Pm1 0.500 0.000 0.000
Pm2 0.500 0.500 0.000
Pm3 0.000 0.500 0.000
I1 0.249 0.497 0.249
I2 0.249 0.000 0.249
I3 0.751 0.000 0.249
I4 0.250 0.500 0.750
I5 0.751 0.000 0.751
I6 0.751 0.503 0.751
I7 0.249 0.000 0.751
I8 0.750 0.500 0.250
Sm1 0.000 0.000 0.000

Calculated values
VASP energy in eV for the cell shown: -46.7
Space-group type: No. 12

=====

First-principles (PBE) data for PmSmI6 after structural relaxation, as listed in the Alexandria database.

Lattice parameters (Å, degrees): 7.756 7.756 8.323 62.23 62.23 60.00
Sites, in units of the cell vectors:
I1 0.413 0.749 0.749
I2 0.251 0.911 0.251
I3 0.911 0.587 0.251
I4 0.587 0.251 0.251
I5 0.089 0.413 0.749
I6 0.749 0.089 0.749
Sm1 0.500 0.500 0.500
Pm1 0.000 0.000 0.000

Calculated values
Distance to the lowest polymorph of the same formula in meV/atom: 22
Space-group type: No. 148

=====

First-principles (PBE) data for Pm2SmI6 after structural relaxation, as listed in the Alexandria database.

Lattice parameters (Å, degrees): 8.173 7.287 7.287 120.00 90.00 90.00
Sites, in units of the cell vectors:
I1 0.748 0.332 0.000
I2 0.252 0.668 0.000
I3 0.252 0.332 0.332
I4 0.748 0.668 0.668
I5 0.252 0.000 0.668
I6 0.748 0.000 0.332
Pm1 0.500 0.333 0.667
Pm2 0.500 0.667 0.333
Sm1 0.500 0.000 0.000

Calculated values
Distance to the lowest polymorph of the same formula in meV/atom: 0
Space-group type: No. 162

=====

First-principles (PBE) data for PmSmI3 after structural relaxation, as listed in the Alexandria database.

Lattice parameters (Å, degrees): 10.131 10.131 12.388 56.50 56.50 23.85
Sites, in units of the cell vectors:
I1 0.665 0.665 0.496
I2 0.965 0.965 0.742
I3 0.035 0.035 0.258
I4 0.335 0.335 0.504
I5 0.785 0.785 0.122
I6 0.215 0.215 0.878
Sm1 0.569 0.569 0.040
Sm2 0.431 0.431 0.960
Pm1 0.866 0.866 0.280
Pm2 0.134 0.134 0.720

Calculated values
Distance to the lowest polymorph of the same formula in meV/atom: 0
Space-group type: No. 12